Record 1
VASP calculation (PBE) on crystalline Tb8Sm3Y at its relaxed geometry.

a = 8.690 Å, b = 8.690 Å, c = 8.690 Å
α = 136.20°, β = 98.62°, γ = 97.38°
Sites, in units of the cell vectors:
1 Tb 0.083 0.250 0.832
2 Tb 0.253 0.248 0.501
3 Tb 0.253 0.752 0.004
4 Tb 0.418 0.250 0.168
5 Tb 0.582 0.750 0.832
6 Tb 0.747 0.248 0.996
7 Tb 0.747 0.752 0.499
8 Tb 0.917 0.750 0.168
9 Sm 0.000 0.000 0.000
10 Sm 0.252 0.752 0.500
11 Sm 0.748 0.248 0.500
12 Y 0.500 0.500 0.000

DOS at the Fermi energy	1.264	states/eV/atom
M_tot	0.00	μB/f.u.
space-group type	Immm, No. 71
crystal system	orthorhombic
formation enthalpy at 0 K	0.309	eV per atom

=====

Record 2
VASP calculation (PBE) on crystalline TbSm6Y12 at its relaxed geometry.

a = 8.697 Å, b = 8.697 Å, c = 8.697 Å
α = 79.80°, β = 79.80°, γ = 79.80°
Sites, in units of the cell vectors:
1 Tb 0.000 0.000 0.000
2 Sm 0.163 0.771 0.771
3 Sm 0.229 0.229 0.837
4 Sm 0.229 0.837 0.229
5 Sm 0.771 0.163 0.771
6 Sm 0.771 0.771 0.163
7 Sm 0.837 0.229 0.229
8 Y 0.136 0.136 0.485
9 Y 0.136 0.485 0.136
10 Y 0.196 0.516 0.516
11 Y 0.484 0.484 0.804
12 Y 0.484 0.804 0.484
13 Y 0.485 0.136 0.136
14 Y 0.515 0.864 0.864
15 Y 0.516 0.196 0.516
16 Y 0.516 0.516 0.196
17 Y 0.804 0.484 0.484
18 Y 0.864 0.515 0.864
19 Y 0.864 0.864 0.515

DOS at the Fermi energy	1.658	states/eV/atom
M_tot	0.00	μB/f.u.
space-group type	R-3m, No. 166
crystal system	trigonal
formation enthalpy at 0 K	0.115	eV per atom

=====

Record 3
VASP calculation (PBE) on crystalline TbSmY14 at its relaxed geometry.

a = 7.154 Å, b = 7.154 Å, c = 10.085 Å
α = 90.00°, β = 90.00°, γ = 90.00°
Sites, in units of the cell vectors:
1 Tb 0.000 0.000 0.000
2 Sm 0.500 0.500 0.000
3 Y 0.000 0.000 0.500
4 Y 0.000 0.500 0.000
5 Y 0.000 0.500 0.500
6 Y 0.250 0.250 0.250
7 Y 0.250 0.250 0.750
8 Y 0.250 0.750 0.250
9 Y 0.250 0.750 0.750
10 Y 0.500 0.000 0.000
11 Y 0.500 0.000 0.500
12 Y 0.500 0.500 0.500
13 Y 0.750 0.250 0.250
14 Y 0.750 0.250 0.750
15 Y 0.750 0.750 0.250
16 Y 0.750 0.750 0.750

DOS at the Fermi energy	1.317	states/eV/atom
M_tot	0.00	μB/f.u.
space-group type	P4/mmm, No. 123
crystal system	tetragonal
formation enthalpy at 0 K	0.021	eV per atom